Entry 1:
DFT (PBE) results for a geometry-optimized Rb2DyRhO4 structure.

The structure in CIF format:
```
data_Rb2DyRhO4
_cell_length_a 5.691
_cell_length_b 3.417
_cell_length_c 6.750
_cell_angle_alpha 90.00
_cell_angle_beta 107.55
_cell_angle_gamma 90.00
_space_group_name_H-M_alt 'P 1'
_space_group_IT_number 1
loop_
_space_group_symop_operation_xyz
'x,y,z'
loop_
_atom_site_label
_atom_site_fract_x
_atom_site_fract_y
_atom_site_fract_z
Rb1 0.000 0.000 0.000
Rb2 0.500 0.500 0.000
Dy1 0.000 0.500 0.500
Rh1 0.500 0.000 0.500
O1 0.236 0.000 0.680
O2 0.297 0.500 0.331
O3 0.703 0.500 0.669
O4 0.764 0.000 0.320
```

* formation energy (no corrections): -1.76 eV per atom



Entry 2:
DFT (PBE) results for a geometry-optimized Rb2Dy2RhO6 structure.

The structure in CIF format:
```
data_Rb2Dy2RhO6
_cell_length_a 5.777
_cell_length_b 5.777
_cell_length_c 6.874
_cell_angle_alpha 97.46
_cell_angle_beta 97.46
_cell_angle_gamma 119.54
_space_group_name_H-M_alt 'P 1'
_space_group_IT_number 1
loop_
_space_group_symop_operation_xyz
'x,y,z'
loop_
_atom_site_label
_atom_site_fract_x
_atom_site_fract_y
_atom_site_fract_z
Rb1 0.163 0.837 0.000
Rb2 0.837 0.163 0.000
Dy1 0.335 0.665 0.500
Dy2 0.665 0.335 0.500
Rh1 0.000 0.000 0.500
O1 0.048 0.360 0.665
O2 0.253 0.253 0.333
O3 0.360 0.048 0.665
O4 0.640 0.952 0.335
O5 0.747 0.747 0.667
O6 0.952 0.640 0.335
```

* formation energy (no corrections): -2.14 eV per atom



Q: The lowest formation energy (no corrections) belongs to which entry?
A: Rb2Dy2RhO6



Q: The lowest formation energy (no corrections) belongs to which entry?
A: Rb2Dy2RhO6



What did the first record say?
DFT (PBE) results for a geometry-optimized Rb2DyRhO4 structure.

The structure in CIF format:
```
data_Rb2DyRhO4
_cell_length_a 5.691
_cell_length_b 3.417
_cell_length_c 6.750
_cell_angle_alpha 90.00
_cell_angle_beta 107.55
_cell_angle_gamma 90.00
_space_group_name_H-M_alt 'P 1'
_space_group_IT_number 1
loop_
_space_group_symop_operation_xyz
'x,y,z'
loop_
_atom_site_label
_atom_site_fract_x
_atom_site_fract_y
_atom_site_fract_z
Rb1 0.000 0.000 0.000
Rb2 0.500 0.500 0.000
Dy1 0.000 0.500 0.500
Rh1 0.500 0.000 0.500
O1 0.236 0.000 0.680
O2 0.297 0.500 0.331
O3 0.703 0.500 0.669
O4 0.764 0.000 0.320
```

* formation energy (no corrections): -1.76 eV per atom